Below is Zr2VFeBr after structural relaxation, with properties calculated at the PBE-GGA level.

Output
spin magnetization: 4.18 μB per cell
D(E_F): 6.65 states/eV/f.u.
final energy: -31.9 eV per formula unit
SG: P4/mmm (123)

abc: 4.9752 4.9752 4.4334
angles: 90.00 90.00 90.00
Last column: nearest neighbours and their distance in Å.
Fractional coordinates of all 5 atoms:
Zr 0.0000 0.5000 0.0000  2 Br 2.49
Zr 0.5000 0.0000 0.0000  2 Br 2.49
V 0.0000 0.0000 0.5000  2 Br 2.22
Fe 0.5000 0.5000 0.5000  8 Zr 3.33, 4 V 3.52
Br 0.0000 0.0000 0.0000  2 V 2.22